1.
# AcPaC (PBE, optimized geometry)
# offset from the most stable computed form = 232.6 meV per atom
# volume = 1106 Å³ per cell
# total moment = 0.00 Bohr magnetons per cell
# formation energy = 0.2858 eV per atom
data_AcPaC
_chemical_formula_sum 'Ac16 Pa16 C16'
_space_group_name_H-M_alt 'F d d d'
_space_group_IT_number 70
_cell_length_a 8.530
_cell_length_b 11.010
_cell_length_c 11.782
_cell_angle_alpha 90.00
_cell_angle_beta 90.00
_cell_angle_gamma 90.00
loop_
_space_group_symop_operation_xyz
'x,y,z'
'-x,-y,-z'
'-x+1/4,-y+1/4,z'
'x+1/4,y+1/4,-z'
'x,-y+1/4,-z+1/4'
'-x,y+1/4,z+1/4'
'-x+1/4,y,-z+1/4'
'x+1/4,-y,z+1/4'
'x,y+1/2,z+1/2'
'-x,-y+1/2,-z+1/2'
'-x+1/4,-y+3/4,z+1/2'
'x+1/4,y+3/4,-z+1/2'
'x,-y+3/4,-z+3/4'
'-x,y+3/4,z+3/4'
'-x+1/4,y+1/2,-z+3/4'
'x+1/4,-y+1/2,z+3/4'
'x+1/2,y,z+1/2'
'-x+1/2,-y,-z+1/2'
'-x+3/4,-y+1/4,z+1/2'
'x+3/4,y+1/4,-z+1/2'
'x+1/2,-y+1/4,-z+3/4'
'-x+1/2,y+1/4,z+3/4'
'-x+3/4,y,-z+3/4'
'x+3/4,-y,z+3/4'
'x+1/2,y+1/2,z'
'-x+1/2,-y+1/2,-z'
'-x+3/4,-y+3/4,z'
'x+3/4,y+3/4,-z'
'x+1/2,-y+3/4,-z+1/4'
'-x+1/2,y+3/4,z+1/4'
'-x+3/4,y+1/2,-z+1/4'
'x+3/4,-y+1/2,z+1/4'
loop_
_atom_site_label
_atom_site_type_symbol
_atom_site_fract_x
_atom_site_fract_y
_atom_site_fract_z
Ac1 Ac 0.000 0.000 0.000
Pa1 Pa 0.125 0.125 0.503
C1 C 0.125 0.303 0.625

---

2.
# AcPaC (PBE, optimized geometry)
# offset from the most stable computed form = 0.0 meV per atom
# volume = 77 Å³ per cell
# total moment = 1.11 Bohr magnetons per cell
# formation energy = 0.0532 eV per atom
data_AcPaC
_chemical_formula_sum 'Ac1 Pa1 C1'
_space_group_name_H-M_alt 'P 3 m 1'
_space_group_IT_number 156
_space_group_name_Hall 'P 3 -2"'
_cell_length_a 3.6987
_cell_length_b 3.6987
_cell_length_c 6.5033
_cell_angle_alpha 90.00
_cell_angle_beta 90.00
_cell_angle_gamma 120.00
loop_
_atom_site_label
_atom_site_type_symbol
_atom_site_fract_x
_atom_site_fract_y
_atom_site_fract_z
Ac1 Ac 0.0000 0.0000 0.0000
Pa1 Pa 0.3333 0.6667 0.4586
C1 C 0.6667 0.3333 0.2973